# MgTi4H8

A geometry-optimized MgTi4H8 structure (PBE, the Alexandria database).

CIF file:
```
data_MgTi4H8
_chemical_formula_sum 'Mg1 Ti4 H8'
_cell_length_a 4.7518
_cell_length_b 4.7518
_cell_length_c 4.7518
_cell_angle_alpha 90.00
_cell_angle_beta 90.00
_cell_angle_gamma 90.00
_symmetry_space_group_name_H-M 'P m -3 m'
_symmetry_Int_Tables_number 221
_symmetry_space_group_name_Hall '-P 4 2 3'
loop_
_atom_site_label
_atom_site_type_symbol
_atom_site_fract_x
_atom_site_fract_y
_atom_site_fract_z
_atom_site_occupancy
Mg1 Mg 0.0000 0.0000 0.0000 1
Ti1 Ti 0.0000 0.0000 0.5000 1
Ti2 Ti 0.5000 0.5000 0.5000 1
H1 H 0.2518 0.2518 0.2518 1
```

Summary:
The value obtained for the calculated volume is 8.25 Å³ per atom. The value obtained for the density of states at the Fermi level is 4.22 states/eV per cell. The total energy comes out at -60.37 eV per formula unit. For the mass density, the calculation gives 3.5 g/cm³.

=====

# MgTi2H

A geometry-optimized MgTi2H structure (PBE, the Alexandria database).

CIF file:
```
data_MgTi2H
_chemical_formula_sum 'Mg4 Ti8 H4'
_cell_length_a 5.7690
_cell_length_b 5.7690
_cell_length_c 7.5107
_cell_angle_alpha 90.00
_cell_angle_beta 90.00
_cell_angle_gamma 90.00
_symmetry_space_group_name_H-M 'I -4 2 d'
_symmetry_Int_Tables_number 122
_symmetry_space_group_name_Hall 'I -4 2bw'
loop_
_atom_site_label
_atom_site_type_symbol
_atom_site_fract_x
_atom_site_fract_y
_atom_site_fract_z
_atom_site_occupancy
Mg1 Mg 0.0000 0.0000 0.0000 1
Ti1 Ti 0.0720 0.2500 0.6250 1
H1 H 0.0000 0.0000 0.5000 1
```

Summary:
The value obtained for the calculated volume is 15.62 Å³ per atom. The value obtained for the density of states at the Fermi level is 16.77 states/eV per cell. The total energy comes out at -20.44 eV per formula unit. For the mass density, the calculation gives 3.2 g/cm³.

=====

# MgTi2H

A geometry-optimized MgTi2H structure (PBE, the Alexandria database).

CIF file:
```
data_MgTi2H
_chemical_formula_sum 'Mg3 Ti6 H3'
_cell_length_a 2.9900
_cell_length_b 2.9900
_cell_length_c 22.2369
_cell_angle_alpha 90.00
_cell_angle_beta 90.00
_cell_angle_gamma 120.00
_symmetry_space_group_name_H-M 'R 3 m'
_symmetry_Int_Tables_number 160
_symmetry_space_group_name_Hall 'R 3 -2"'
loop_
_atom_site_label
_atom_site_type_symbol
_atom_site_fract_x
_atom_site_fract_y
_atom_site_fract_z
_atom_site_occupancy
Mg1 Mg 0.0000 0.0000 0.0000 1
Ti1 Ti 0.0000 0.0000 0.5525 1
Ti2 Ti 0.0000 0.0000 0.7805 1
H1 H 0.0000 0.0000 0.1660 1
```

Summary:
The value obtained for the calculated volume is 14.35 Å³ per atom. The value obtained for the density of states at the Fermi level is 12.95 states/eV per cell. The total energy comes out at -20.95 eV per formula unit. For the mass density, the calculation gives 3.5 g/cm³.

=====

# MgTi2H

A geometry-optimized MgTi2H structure (PBE, the Alexandria database).

CIF file:
```
data_MgTi2H
_chemical_formula_sum 'Mg4 Ti8 H4'
_cell_length_a 6.2527
_cell_length_b 6.2527
_cell_length_c 6.2527
_cell_angle_alpha 90.00
_cell_angle_beta 90.00
_cell_angle_gamma 90.00
_symmetry_space_group_name_H-M 'F m -3 m'
_symmetry_Int_Tables_number 225
_symmetry_space_group_name_Hall '-F 4 2 3'
loop_
_atom_site_label
_atom_site_type_symbol
_atom_site_fract_x
_atom_site_fract_y
_atom_site_fract_z
_atom_site_occupancy
Mg1 Mg 0.0000 0.0000 0.0000 1
Ti1 Ti 0.2500 0.2500 0.2500 1
H1 H 0.0000 0.0000 0.5000 1
```

Summary:
The value obtained for the calculated volume is 15.28 Å³ per atom. The value obtained for the density of states at the Fermi level is 11.92 states/eV per cell. The total energy comes out at -17.70 eV per formula unit. For the mass density, the calculation gives 3.3 g/cm³.

=====

# MgTi3H8

A geometry-optimized MgTi3H8 structure (PBE, the Alexandria database).

CIF file:
```
data_MgTi3H8
_chemical_formula_sum 'Mg1 Ti3 H8'
_cell_length_a 4.4503
_cell_length_b 4.4503
_cell_length_c 4.4503
_cell_angle_alpha 90.00
_cell_angle_beta 90.00
_cell_angle_gamma 90.00
_symmetry_space_group_name_H-M 'P m -3 m'
_symmetry_Int_Tables_number 221
_symmetry_space_group_name_Hall '-P 4 2 3'
loop_
_atom_site_label
_atom_site_type_symbol
_atom_site_fract_x
_atom_site_fract_y
_atom_site_fract_z
_atom_site_occupancy
Mg1 Mg 0.0000 0.0000 0.0000 1
Ti1 Ti 0.0000 0.5000 0.5000 1
H1 H 0.2567 0.2567 0.2567 1
```

Summary:
The value obtained for the calculated volume is 7.35 Å³ per atom. The value obtained for the density of states at the Fermi level is 5.39 states/eV per cell. The total energy comes out at -56.93 eV per formula unit. For the mass density, the calculation gives 3.3 g/cm³.

=====

# MgTi3H

A geometry-optimized MgTi3H structure (PBE, the Alexandria database).

CIF file:
```
data_MgTi3H
_chemical_formula_sum 'Mg1 Ti3 H1'
_cell_length_a 4.9206
_cell_length_b 4.9206
_cell_length_c 4.9206
_cell_angle_alpha 90.00
_cell_angle_beta 90.00
_cell_angle_gamma 90.00
_symmetry_space_group_name_H-M 'P m -3 m'
_symmetry_Int_Tables_number 221
_symmetry_space_group_name_Hall '-P 4 2 3'
loop_
_atom_site_label
_atom_site_type_symbol
_atom_site_fract_x
_atom_site_fract_y
_atom_site_fract_z
_atom_site_occupancy
Mg1 Mg 0.0000 0.0000 0.0000 1
Ti1 Ti 0.0000 0.0000 0.5000 1
H1 H 0.5000 0.5000 0.5000 1
```

Summary:
The value obtained for the calculated volume is 23.83 Å³ per atom. The value obtained for the density of states at the Fermi level is 4.81 states/eV per cell. The total energy comes out at -18.98 eV per formula unit. For the mass density, the calculation gives 2.4 g/cm³.

=====

# MgTi2H4

A geometry-optimized MgTi2H4 structure (PBE, the Alexandria database).

CIF file:
```
data_MgTi2H4
_chemical_formula_sum 'Mg8 Ti16 H32'
_cell_length_a 8.0351
_cell_length_b 8.0456
_cell_length_c 8.3560
_cell_angle_alpha 90.00
_cell_angle_beta 90.00
_cell_angle_gamma 90.00
_symmetry_space_group_name_H-M 'F d d d'
_symmetry_Int_Tables_number 70
loop_
_symmetry_equiv_pos_as_xyz
'x,y,z'
'-x,-y,-z'
'-x+1/4,-y+1/4,z'
'x+1/4,y+1/4,-z'
'x,-y+1/4,-z+1/4'
'-x,y+1/4,z+1/4'
'-x+1/4,y,-z+1/4'
'x+1/4,-y,z+1/4'
'x,y+1/2,z+1/2'
'-x,-y+1/2,-z+1/2'
'-x+1/4,-y+3/4,z+1/2'
'x+1/4,y+3/4,-z+1/2'
'x,-y+3/4,-z+3/4'
'-x,y+3/4,z+3/4'
'-x+1/4,y+1/2,-z+3/4'
'x+1/4,-y+1/2,z+3/4'
'x+1/2,y,z+1/2'
'-x+1/2,-y,-z+1/2'
'-x+3/4,-y+1/4,z+1/2'
'x+3/4,y+1/4,-z+1/2'
'x+1/2,-y+1/4,-z+3/4'
'-x+1/2,y+1/4,z+3/4'
'-x+3/4,y,-z+3/4'
'x+3/4,-y,z+3/4'
'x+1/2,y+1/2,z'
'-x+1/2,-y+1/2,-z'
'-x+3/4,-y+3/4,z'
'x+3/4,y+3/4,-z'
'x+1/2,-y+3/4,-z+1/4'
'-x+1/2,y+3/4,z+1/4'
'-x+3/4,y+1/2,-z+1/4'
'x+3/4,-y+1/2,z+1/4'
loop_
_atom_site_label
_atom_site_type_symbol
_atom_site_fract_x
_atom_site_fract_y
_atom_site_fract_z
_atom_site_occupancy
Mg1 Mg 0.1250 0.1250 0.1250 1
Ti1 Ti 0.0000 0.0000 0.5000 1
H1 H 0.0136 0.0140 0.7274 1
```

Summary:
The value obtained for the calculated volume is 9.65 Å³ per atom. The value obtained for the density of states at the Fermi level is 36.76 states/eV per cell. The total energy comes out at -32.66 eV per formula unit. For the mass density, the calculation gives 3.1 g/cm³.

=====

# Mg5Ti3H12

A geometry-optimized Mg5Ti3H12 structure (PBE, the Alexandria database).

CIF file:
```
data_Mg5Ti3H12
_chemical_formula_sum 'Mg40 Ti24 H96'
_cell_length_a 11.3232
_cell_length_b 11.3232
_cell_length_c 11.3232
_cell_angle_alpha 90.00
_cell_angle_beta 90.00
_cell_angle_gamma 90.00
_symmetry_space_group_name_H-M 'I a -3 d'
_symmetry_Int_Tables_number 230
_symmetry_space_group_name_Hall '-I 4bd 2c 3'
loop_
_atom_site_label
_atom_site_type_symbol
_atom_site_fract_x
_atom_site_fract_y
_atom_site_fract_z
_atom_site_occupancy
Mg1 Mg 0.0000 0.0000 0.0000 1
Mg2 Mg 0.0000 0.2500 0.3750 1
Ti1 Ti 0.0000 0.2500 0.1250 1
H1 H 0.0061 0.0745 0.6578 1
```

Summary:
The value obtained for the calculated volume is 9.07 Å³ per atom. The value obtained for the density of states at the Fermi level is 60.87 states/eV per cell. The total energy comes out at -73.65 eV per formula unit. For the mass density, the calculation gives 2.5 g/cm³.